# 1
BePtW2 | Alexandria | meta-GGA SCAN | PBEsol geometry; DOS at the Fermi energy = 1.095 states/eV per atom; crystal system = tetragonal; calculated total energy = -53.14 eV per atom; V = 14.29 Å³ per atom; total magnetization = 0.00 μB/f.u.
1.0
2.6633 0.0000 0.0000
0.0000 4.6321 0.0000
0.0000 0.0000 4.6321
Be W Pt
1 2 1
direct
0.5000 0.5000 0.5000
0.0000 0.5000 0.0000
0.0000 0.0000 0.5000
0.5000 0.0000 0.0000

# 2
BePtW2 | Alexandria | meta-GGA SCAN | PBEsol geometry; DOS at the Fermi energy = 0.635 states/eV per atom; crystal system = tetragonal; calculated total energy = -53.53 eV per atom; V = 14.01 Å³ per atom; total magnetization = 0.00 μB/f.u.
1.0
-1.6906 -0.6596 -3.1845
0.0875 -3.5970 0.6986
-3.6992 0.2801 1.9058
W Be Pt
2 1 1
direct
0.5000 0.0000 0.0000
0.0000 0.5000 0.0000
0.5000 0.5000 0.5000
0.0000 0.0000 0.5000

# 3
BePt3W | Alexandria | meta-GGA SCAN | PBEsol geometry; DOS at the Fermi energy = 0.746 states/eV per atom; crystal system = cubic; calculated total energy = -55.41 eV per atom; V = 21.78 Å³ per atom; total magnetization = 0.00 μB/f.u.
1.0
4.7752 0.0000 0.0000
0.0000 4.7752 0.0000
0.0000 0.0000 4.7752
Pt W Be
3 1 1
direct
0.5000 0.0000 0.0000
0.0000 0.0000 0.5000
0.0000 0.5000 0.0000
0.0000 0.0000 0.0000
0.5000 0.5000 0.5000

# 4
YBePt | Alexandria | meta-GGA SCAN | PBEsol geometry; DOS at the Fermi energy = 0.461 states/eV per atom; crystal system = hexagonal; energy relative to the lowest polymorph listed for this composition = 0.00 kJ per mole of atoms; V = 17.63 Å³ per atom; total magnetization = 0.00 μB/f.u.
1.0
-0.3996 0.4978 3.7661
-3.9706 0.1696 -0.4437
1.7905 -3.5153 0.6546
Y Be Pt
1 1 1
direct
0.5000 0.6667 0.3333
0.0000 0.0000 0.0000
0.0000 0.3333 0.6667

# 5
YBePt2 | Alexandria | meta-GGA SCAN | PBEsol geometry; DOS at the Fermi energy = 0.222 states/eV per atom; crystal system = orthorhombic; calculated total energy = -43.97 eV per atom; V = 16.18 Å³ per atom; total magnetization = 0.00 μB/f.u.
1.0
3.5499 0.0000 0.0000
0.0000 4.2096 0.0000
-1.7750 -2.1048 4.3299
Y Pt Be
1 2 1
direct
0.5065 0.5065 0.0131
0.7392 0.2392 0.4784
0.9724 0.9724 0.9448
0.2819 0.7819 0.5638

# 6
YBePt | Alexandria | meta-GGA SCAN | PBEsol geometry; DOS at the Fermi energy = 0.816 states/eV per atom; crystal system = cubic; energy relative to the lowest polymorph listed for this composition = 111.56 kJ per mole of atoms; V = 21.37 Å³ per atom; total magnetization = 0.00 μB/f.u.
1.0
4.4925 0.0000 0.0000
2.2463 3.8906 0.0000
2.2463 1.2969 3.6681
Y Be Pt
1 1 1
direct
0.2500 0.2500 0.2500
0.0000 0.0000 0.0000
0.5000 0.5000 0.5000

# 7
YBePt2 | Alexandria | meta-GGA SCAN | PBEsol geometry; DOS at the Fermi energy = 0.323 states/eV per atom; crystal system = tetragonal; calculated total energy = -43.98 eV per atom; V = 16.12 Å³ per atom; total magnetization = 0.00 μB/f.u.
1.0
4.1166 0.0000 0.0000
0.0000 4.1166 0.0000
-2.0583 -2.0583 3.8053
Pt Be Y
2 1 1
direct
0.7500 0.2500 0.5000
0.2500 0.7500 0.5000
0.0000 0.0000 0.0000
0.5000 0.5000 0.0000

# 8
YBe3Pt | Alexandria | meta-GGA SCAN | PBEsol geometry; DOS at the Fermi energy = 0.548 states/eV per atom; crystal system = cubic; calculated total energy = -22.71 eV per atom; V = 15.34 Å³ per atom; total magnetization = 0.00 μB/f.u.
1.0
-0.9368 -1.7288 3.7665
1.2775 -3.7939 -1.4237
3.9425 0.8185 1.3563
Y Pt Be
1 1 3
direct
0.5000 0.5000 0.5000
0.0000 0.0000 0.0000
0.0000 0.0000 0.5000
0.0000 0.5000 0.0000
0.5000 0.0000 0.0000